No. 1
Computed, not measured: a geometry-optimized NiBiW2 structure at the PBE level of DFT.

The structure in POSCAR format:
```
NiBiW2
1.0
-1.912 1.912 10.015
1.912 -1.912 10.015
1.912 1.912 -10.015
Ni Bi W
2 2 4
direct
0.000 0.000 0.000 Ni
0.750 0.250 0.500 Ni
0.250 0.750 0.500 Bi
0.500 0.500 0.000 Bi
0.100 0.625 0.975 W
0.375 0.350 0.475 W
0.650 0.125 0.025 W
0.875 0.900 0.525 W
```

Summary:
Crystal system: tetragonal
Uncorrected energy: -63.9 eV per cell
Energy of formation from the pure elements: 0.9077 eV per atom
Symmetry: I-42d (122)


No. 2
Computed, not measured: a geometry-optimized Tl2HgAsO structure at the PBE level of DFT.

The structure in POSCAR format:
```
Tl2HgAsO
1.0
5.667 0.000 0.000
0.000 5.667 0.000
0.000 0.000 3.984
Tl Hg As O
2 1 1 1
direct
0.000 0.500 0.000 Tl
0.500 0.000 0.000 Tl
0.000 0.000 0.500 Hg
0.500 0.500 0.500 As
0.500 0.500 0.000 O
```

Summary:
Crystal system: tetragonal
Uncorrected energy: -15.4 eV per cell
Symmetry: P4/mmm (123)


Number 1: Fermi-level density of states 8.447 states/eV/cell, theoretical density 14.4 g cm⁻³. Number 2: Fermi-level density of states 1.869 states/eV/cell, theoretical density 9.1 g cm⁻³.